Entry 1:
# MnTe4As

A geometry-optimized MnTe4As structure (PBE-GGA, Alexandria via LeMat-Bulk).

Structure (POSCAR):
```
MnTe4As
1.0
-3.311 -0.821 1.614
-2.167 -2.977 -5.958
3.109 -4.678 3.997
Mn Te As
1 4 1
Cartesian
-0.101 -2.749 2.806
-0.842 -3.480 -3.497
-1.356 -2.199 0.512
1.784 -4.175 1.536
-1.013 -6.277 -0.859
0.471 -3.827 -0.980
```

Computed properties:
Energy relative to the lowest polymorph listed for this composition = 0 meV per atom
SG = P2/m, No. 10
E_tot = -4.47 eV/atom
Total moment = 2.62 μB/f.u.
Density of states at the Fermi level = 2.8 states/eV/cell
E_form (uncorrected) = -0.074 eV/atom

Entry 2:
# KNa2Ge2

A geometry-optimized KNa2Ge2 structure (PBE-GGA, Alexandria via LeMat-Bulk).

Structure (POSCAR):
```
KNa2Ge2
1.0
-4.557 3.893 6.353
0.753 -7.168 4.932
2.977 1.254 1.367
K Na Ge
2 4 4
Cartesian
-1.902 -1.638 5.643
0.000 0.000 0.000
-1.017 -2.553 9.055
0.191 0.531 3.598
1.163 -3.562 5.234
-1.989 1.540 7.419
-2.671 1.609 4.340
-3.633 -0.832 8.673
-0.171 -2.444 2.613
-1.133 -4.884 6.945
```

Computed properties:
Energy relative to the lowest polymorph listed for this composition = 91 meV per atom
SG = P4/mbm, No. 127
E_tot = -2.60 eV/atom
Total moment = 0.00 μB/f.u.
E_form = -0.003 eV/atom
Density of states at the Fermi level = 2.6 states/eV/cell

Entry 3:
# SrCaOs2

A geometry-optimized SrCaOs2 structure (PBE-GGA, Alexandria via LeMat-Bulk).

Structure (POSCAR):
```
SrCaOs2
1.0
5.564 0.003 0.000
2.455 4.993 0.000
-4.009 -2.498 2.940
Ca Os Sr
1 2 1
Cartesian
2.782 0.001 1.470
0.000 0.000 0.000
4.009 2.498 0.000
1.227 2.496 1.470
```

Computed properties:
Energy relative to the lowest polymorph listed for this composition = 588 meV per atom
SG = I4/mmm, No. 139
E_tot = -5.55 eV/atom
Total moment = 1.16 μB/f.u.
E_form = 0.985 eV/atom
Density of states at the Fermi level = 5.3 states/eV/cell

Entry 4:
# Ce2InP3Pd4

A geometry-optimized Ce2InP3Pd4 structure (PBE-GGA, Alexandria via LeMat-Bulk).

Structure (POSCAR):
```
Ce2InP3Pd4
1.0
4.125 0.000 0.000
0.000 4.125 0.000
0.000 0.000 10.933
P Ce Pd In
3 2 4 1
Cartesian
0.000 2.063 1.424
0.000 0.000 5.466
2.063 0.000 9.509
0.000 2.063 8.451
2.063 0.000 2.482
2.063 0.000 7.161
0.000 0.000 0.000
2.063 2.063 0.000
0.000 2.063 3.772
2.063 2.063 5.466
```

Computed properties:
SG = P-4m2, No. 115
E_tot = -6.00 eV/atom
Total moment = 1.00 μB/f.u.
E_form = -0.840 eV/atom
Density of states at the Fermi level = 11.5 states/eV/cell